[1]
SrLi3O (PBE, relaxed); calculated density = 2.253 g cm⁻³; formation energy from raw total energies = -495 meV/atom; uncorrected energy = -2.9709 eV/atom; total moment = 1.02 μB/f.u.
1.0
4.510 0.000 0.000
0.000 4.510 0.000
0.000 0.000 4.510
Sr Li O
1 3 1
Direct
0.000 0.000 0.000 Sr
0.000 0.500 0.500 Li
0.500 0.000 0.500 Li
0.500 0.500 0.000 Li
0.500 0.500 0.500 O



[2]
SrLiO3 (PBE, relaxed); calculated density = 2.454 g cm⁻³; formation energy from raw total energies = -587 meV/atom; uncorrected energy = -4.2813 eV/atom; total moment = 3.00 μB/f.u.
1.0
4.586 0.000 0.000
0.000 4.586 0.000
0.000 0.000 4.586
Sr Li O
1 1 3
Direct
0.000 0.000 0.000 Sr
0.500 0.500 0.500 Li
0.000 0.000 0.500 O
0.000 0.500 0.000 O
0.500 0.000 0.000 O



[3]
SrLiO2 (PBE, relaxed); calculated density = 2.910 g cm⁻³; formation energy from raw total energies = -1730 meV/atom; uncorrected energy = -5.1084 eV/atom; total moment = 1.00 μB/f.u.
1.0
1.858 1.073 6.038
-1.858 1.073 6.038
0.000 -2.146 6.038
Sr Li O
1 1 2
Direct
0.000 0.000 0.000 Sr
0.500 0.500 0.500 Li
0.402 0.402 0.402 O
0.598 0.598 0.598 O



[4]
Sr2Li3O4 (PBE, relaxed); calculated density = 3.890 g cm⁻³; formation energy from raw total energies = -1902 meV/atom; uncorrected energy = -5.1172 eV/atom; total moment = 0.24 μB/f.u.
1.0
2.643 -6.229 0.000
2.643 6.229 0.000
0.000 0.000 6.741
Sr Li O
4 6 8
Direct
0.120 0.880 0.918 Sr
0.380 0.620 0.418 Sr
0.620 0.380 0.582 Sr
0.880 0.120 0.082 Sr
0.000 0.000 0.500 Li
0.055 0.445 0.750 Li
0.445 0.055 0.250 Li
0.500 0.500 0.000 Li
0.555 0.945 0.750 Li
0.945 0.555 0.250 Li
0.212 0.788 0.609 O
0.213 0.287 0.750 O
0.287 0.213 0.250 O
0.288 0.712 0.109 O
0.712 0.288 0.891 O
0.713 0.787 0.750 O
0.787 0.713 0.250 O
0.788 0.212 0.391 O



[5]
SrLiO2 (PBE, relaxed); calculated density = 3.529 g cm⁻³; formation energy from raw total energies = -1758 meV/atom; uncorrected energy = -5.1360 eV/atom; total moment = 1.00 μB/f.u.
1.0
-2.272 2.272 5.767
2.272 -2.272 5.767
2.272 2.272 -5.767
Sr Li O
2 2 4
Direct
0.000 0.000 0.000 Sr
0.750 0.250 0.500 Sr
0.250 0.750 0.500 Li
0.500 0.500 0.000 Li
0.227 0.625 0.102 O
0.375 0.477 0.602 O
0.523 0.125 0.898 O
0.875 0.773 0.398 O



[6]
Sr2LiO2 (PBE, relaxed); calculated density = 3.953 g cm⁻³; formation energy from raw total energies = -1955 meV/atom; uncorrected energy = -4.9933 eV/atom; total moment = 0.00 μB/f.u.
1.0
-3.883 4.810 2.408
3.883 -4.810 2.408
3.883 4.810 -2.408
Sr Li O
4 2 4
Direct
0.133 0.216 0.349 Sr
0.367 0.716 0.083 Sr
0.633 0.284 0.917 Sr
0.867 0.784 0.651 Sr
0.250 0.750 0.500 Li
0.750 0.250 0.500 Li
0.110 0.657 0.767 O
0.390 0.157 0.546 O
0.610 0.843 0.454 O
0.890 0.343 0.233 O



[7]
Sr2LiO2 (PBE, relaxed); calculated density = 4.113 g cm⁻³; formation energy from raw total energies = -1474 meV/atom; uncorrected energy = -4.5130 eV/atom; total moment = 0.00 μB/f.u.
1.0
7.357 0.000 0.000
0.000 7.357 0.000
0.000 0.000 3.195
Sr Li O
4 2 4
Direct
0.152 0.348 0.000 Sr
0.348 0.848 0.000 Sr
0.652 0.152 0.000 Sr
0.848 0.652 0.000 Sr
0.000 0.000 0.000 Li
0.500 0.500 0.000 Li
0.156 0.656 0.500 O
0.344 0.156 0.500 O
0.656 0.844 0.500 O
0.844 0.344 0.500 O



[8]
Sr4Li2O (PBE, relaxed); calculated density = 2.648 g cm⁻³; formation energy from raw total energies = -661 meV/atom; uncorrected energy = -2.8771 eV/atom; total moment = 0.00 μB/f.u.
1.0
-2.545 2.545 9.210
2.545 -2.545 9.210
2.545 2.545 -9.210
Sr Li O
4 2 1
Direct
0.000 0.500 0.500 Sr
0.168 0.168 0.000 Sr
0.500 0.000 0.500 Sr
0.832 0.832 0.000 Sr
0.356 0.356 0.000 Li
0.644 0.644 0.000 Li
0.000 0.000 0.000 O



[9]
Sr3LiO3 (PBE, relaxed); calculated density = 4.118 g cm⁻³; formation energy from raw total energies = -2213 meV/atom; uncorrected energy = -5.3322 eV/atom; total moment = 0.02 μB/f.u.
1.0
7.618 0.000 0.000
-3.809 6.598 0.000
0.000 0.000 5.099
Sr Li O
6 2 6
Direct
0.057 0.350 0.250 Sr
0.292 0.943 0.250 Sr
0.350 0.292 0.750 Sr
0.650 0.708 0.250 Sr
0.708 0.057 0.750 Sr
0.943 0.650 0.750 Sr
0.333 0.667 0.750 Li
0.667 0.333 0.250 Li
0.084 0.402 0.750 O
0.318 0.916 0.750 O
0.402 0.318 0.250 O
0.598 0.682 0.750 O
0.682 0.084 0.250 O
0.916 0.598 0.250 O



[10]
SrLiO2 (PBE, relaxed); calculated density = 4.042 g cm⁻³; formation energy from raw total energies = -1667 meV/atom; uncorrected energy = -5.0448 eV/atom; total moment = 1.00 μB/f.u.
1.0
0.000 2.962 2.962
2.962 0.000 2.962
2.962 2.962 0.000
Sr Li O
1 1 2
Direct
0.000 0.000 0.000 Sr
0.500 0.500 0.500 Li
0.250 0.250 0.250 O
0.750 0.750 0.750 O



[11]
SrLi3O (PBE, relaxed); calculated density = 1.049 g cm⁻³; formation energy from raw total energies = 1222 meV/atom; uncorrected energy = -1.2541 eV/atom; total moment = 0.00 μB/f.u.
1.0
5.819 0.000 0.000
0.000 5.819 0.000
0.000 0.000 5.819
Sr Li O
1 3 1
Direct
0.000 0.000 0.000 Sr
0.000 0.000 0.500 Li
0.000 0.500 0.000 Li
0.500 0.000 0.000 Li
0.500 0.500 0.500 O



[12]
SrLiO3 (PBE, relaxed); calculated density = 4.235 g cm⁻³; formation energy from raw total energies = -1264 meV/atom; uncorrected energy = -4.9577 eV/atom; total moment = 3.00 μB/f.u.
1.0
3.823 0.000 0.000
0.000 3.823 0.000
0.000 0.000 3.823
Sr Li O
1 1 3
Direct
0.000 0.000 0.000 Sr
0.500 0.500 0.500 Li
0.000 0.500 0.500 O
0.500 0.000 0.500 O
0.500 0.500 0.000 O



[13]
Sr3Li6Ta2O11 (PBE, relaxed); calculated density = 5.282 g cm⁻³; formation energy from raw total energies = -2591 meV/atom; uncorrected energy = -6.8986 eV/atom; total moment = 0.00 μB/f.u.
1.0
10.687 0.000 0.000
0.000 8.437 0.000
0.000 0.000 5.874
Sr Li Ta O
6 12 4 22
Direct
0.000 0.237 0.000 Sr
0.000 0.763 0.000 Sr
0.250 0.500 0.116 Sr
0.500 0.237 0.000 Sr
0.500 0.763 0.000 Sr
0.750 0.500 0.884 Sr
0.000 0.145 0.500 Li
0.000 0.855 0.500 Li
0.250 0.185 0.281 Li
0.250 0.354 0.649 Li
0.250 0.646 0.649 Li
0.250 0.815 0.281 Li
0.500 0.145 0.500 Li
0.500 0.855 0.500 Li
0.750 0.185 0.719 Li
0.750 0.354 0.351 Li
0.750 0.646 0.351 Li
0.750 0.815 0.719 Li
0.000 0.500 0.500 Ta
0.250 0.000 0.764 Ta
0.500 0.500 0.500 Ta
0.750 0.000 0.236 Ta
0.061 0.000 0.753 O
0.107 0.500 0.781 O
0.110 0.327 0.367 O
0.110 0.673 0.367 O
0.250 0.000 0.444 O
0.250 0.198 0.931 O
0.250 0.802 0.931 O
0.390 0.327 0.367 O
0.390 0.673 0.367 O
0.393 0.500 0.781 O
0.439 0.000 0.753 O
0.561 0.000 0.247 O
0.607 0.500 0.219 O
0.610 0.327 0.633 O
0.610 0.673 0.633 O
0.750 0.000 0.556 O
0.750 0.198 0.069 O
0.750 0.802 0.069 O
0.890 0.327 0.633 O
0.890 0.673 0.633 O
0.893 0.500 0.219 O
0.939 0.000 0.247 O



[14]
SrLi2TaO4 (PBE, relaxed); calculated density = 5.400 g cm⁻³; formation energy from raw total energies = -2368 meV/atom; uncorrected energy = -7.0179 eV/atom; total moment = 0.60 μB/f.u.
1.0
-2.703 2.743 3.593
2.703 -2.743 3.593
2.703 2.743 -3.593
Sr Li Ta O
1 2 1 4
Direct
0.000 0.000 0.000 Sr
0.268 0.768 0.500 Li
0.732 0.232 0.500 Li
0.500 0.500 0.000 Ta
0.116 0.498 0.951 O
0.453 0.502 0.618 O
0.547 0.165 0.049 O
0.884 0.835 0.382 O



[15]
SrLi3Ta4O12 (PBE, relaxed); calculated density = 7.372 g cm⁻³; formation energy from raw total energies = -2746 meV/atom; uncorrected energy = -8.4624 eV/atom; total moment = 0.00 μB/f.u.
1.0
-3.864 3.864 3.864
3.864 -3.864 3.864
3.864 3.864 -3.864
Sr Li Ta O
1 3 4 12
Direct
0.000 0.000 0.000 Sr
0.000 0.500 0.500 Li
0.500 0.000 0.500 Li
0.500 0.500 0.000 Li
0.000 0.000 0.500 Ta
0.000 0.500 0.000 Ta
0.500 0.000 0.000 Ta
0.500 0.500 0.500 Ta
0.102 0.294 0.808 O
0.192 0.487 0.294 O
0.192 0.898 0.706 O
0.294 0.192 0.487 O
0.294 0.808 0.102 O
0.487 0.294 0.192 O
0.513 0.706 0.808 O
0.706 0.192 0.898 O
0.706 0.808 0.513 O
0.808 0.102 0.294 O
0.808 0.513 0.706 O
0.898 0.706 0.192 O



[16]
SrLi2Ta2O7 (PBE, relaxed); calculated density = 6.506 g cm⁻³; formation energy from raw total energies = -2803 meV/atom; uncorrected energy = -8.1296 eV/atom; total moment = 0.00 μB/f.u.
1.0
-1.991 1.991 9.260
1.991 -1.991 9.260
1.991 1.991 -9.260
Sr Li Ta O
1 2 2 7
Direct
0.000 0.000 0.000 Sr
0.250 0.750 0.500 Li
0.750 0.250 0.500 Li
0.386 0.386 0.000 Ta
0.614 0.614 0.000 Ta
0.104 0.604 0.500 O
0.284 0.284 0.000 O
0.396 0.896 0.500 O
0.500 0.500 0.000 O
0.604 0.104 0.500 O
0.716 0.716 0.000 O
0.896 0.396 0.500 O



[17]
SrLiTa2O7 (PBE, relaxed); calculated density = 6.148 g cm⁻³; formation energy from raw total energies = -2630 meV/atom; uncorrected energy = -8.2670 eV/atom; total moment = 0.93 μB/f.u.
1.0
-1.971 1.971 9.886
1.971 -1.971 9.886
1.971 1.971 -9.886
Sr Li Ta O
1 1 2 7
Direct
0.000 0.000 0.000 Sr
0.750 0.250 0.500 Li
0.386 0.386 0.000 Ta
0.614 0.614 0.000 Ta
0.096 0.596 0.500 O
0.294 0.294 0.000 O
0.404 0.904 0.500 O
0.500 0.500 0.000 O
0.597 0.097 0.500 O
0.706 0.706 0.000 O
0.903 0.403 0.500 O



[18]
Sr4LiTa3O12 (PBE, relaxed); calculated density = 6.774 g cm⁻³; formation energy from raw total energies = -2915 meV/atom; uncorrected energy = -8.1003 eV/atom; total moment = 0.00 μB/f.u.
1.0
-4.060 4.060 4.060
4.060 -4.060 4.060
4.060 4.060 -4.060
Sr Li Ta O
4 1 3 12
Direct
0.000 0.000 0.500 Sr
0.000 0.500 0.000 Sr
0.500 0.000 0.000 Sr
0.500 0.500 0.500 Sr
0.000 0.000 0.000 Li
0.000 0.500 0.500 Ta
0.500 0.000 0.500 Ta
0.500 0.500 0.000 Ta
0.000 0.263 0.263 O
0.000 0.737 0.737 O
0.250 0.500 0.750 O
0.250 0.750 0.500 O
0.263 0.000 0.263 O
0.263 0.263 0.000 O
0.500 0.250 0.750 O
0.500 0.750 0.250 O
0.737 0.000 0.737 O
0.737 0.737 0.000 O
0.750 0.250 0.500 O
0.750 0.500 0.250 O



[19]
Sr2Li2TaO6 (PBE, relaxed); calculated density = 5.216 g cm⁻³; formation energy from raw total energies = -2409 meV/atom; uncorrected energy = -6.8452 eV/atom; total moment = 0.97 μB/f.u.
1.0
2.902 1.675 5.087
-2.902 1.675 5.087
0.000 -3.351 5.087
Sr Li Ta O
2 2 1 6
Direct
0.223 0.223 0.223 Sr
0.777 0.777 0.777 Sr
0.428 0.428 0.428 Li
0.572 0.572 0.572 Li
0.000 0.000 0.000 Ta
0.232 0.763 0.763 O
0.237 0.237 0.768 O
0.237 0.768 0.237 O
0.763 0.232 0.763 O
0.763 0.763 0.232 O
0.768 0.237 0.237 O



[20]
SrLi2Ta2O7 (PBE, relaxed); calculated density = 6.548 g cm⁻³; formation energy from raw total energies = -2805 meV/atom; uncorrected energy = -8.1320 eV/atom; total moment = 0.00 μB/f.u.
1.0
9.203 -2.817 0.000
9.203 2.817 0.000
0.000 0.000 5.628
Sr Li Ta O
2 4 4 14
Direct
0.246 0.754 0.750 Sr
0.754 0.246 0.250 Sr
0.239 0.239 0.000 Li
0.239 0.239 0.500 Li
0.761 0.761 0.000 Li
0.761 0.761 0.500 Li
0.139 0.632 0.250 Ta
0.368 0.861 0.250 Ta
0.632 0.139 0.750 Ta
0.861 0.368 0.750 Ta
0.064 0.503 0.250 O
0.115 0.115 0.000 O
0.115 0.115 0.500 O
0.207 0.793 0.250 O
0.405 0.405 0.000 O
0.405 0.405 0.500 O
0.497 0.936 0.250 O
0.503 0.064 0.750 O
0.595 0.595 0.000 O
0.595 0.595 0.500 O
0.793 0.207 0.750 O
0.885 0.885 0.000 O
0.885 0.885 0.500 O
0.936 0.497 0.750 O